(a)
# Be2CuRe2

A geometry-optimized Be2CuRe2 structure (GGA-PBE, the Alexandria database).

a = 4.2100 Å, b = 4.2100 Å, c = 4.8279 Å
α = 64.15°, β = 64.15°, γ = 90.00°
Element x y z (fractional)
Re: 0.3417 0.3417 0.3166
Re: 0.6583 0.6583 0.6834
Cu: 0.0000 0.0000 0.0000
Be: 0.7500 0.2500 0.5000
Be: 0.2500 0.7500 0.5000

Results
M_tot   0.00 μB per formula unit
Symmetry   I4/mmm, No. 139

(b)
# Be2CuRe2

A geometry-optimized Be2CuRe2 structure (GGA-PBE, the Alexandria database).

a = 6.7182 Å, b = 6.7182 Å, c = 2.8286 Å
α = 90.00°, β = 90.00°, γ = 90.00°
Element x y z (fractional)
Re: 0.3753 0.8753 0.0000
Re: 0.8753 0.6247 0.0000
Re: 0.6247 0.1247 0.0000
Re: 0.1247 0.3753 0.0000
Cu: 0.0000 0.0000 0.0000
Cu: 0.5000 0.5000 0.0000
Be: 0.1719 0.6719 0.5000
Be: 0.6719 0.8281 0.5000
Be: 0.8281 0.3281 0.5000
Be: 0.3281 0.1719 0.5000

Results
M_tot   0.00 μB per formula unit
Symmetry   P4/mbm, No. 127

Relative energies, eV/atom: (a) 0.310; (b) 0.000.